1.
Here is a relaxed CaNi4O8 crystal from Alexandria. Energies are from GGA+U.

Summary:
Energy above the most stable polymorph in this dataset ... 116 meV/atom
N(E_F) ... 0.40 states/eV/atom

Cell lengths 6.336, 6.336, 8.875 Å; angles 127.20, 127.20, 27.47 degrees
Fractional coordinates of all 13 atoms:
Ca 0.000 0.000 0.000
Ni 0.138 0.138 0.464
Ni 0.337 0.337 0.175
Ni 0.663 0.663 0.825
Ni 0.862 0.862 0.536
O 0.042 0.042 0.759
O 0.307 0.307 0.936
O 0.335 0.335 0.659
O 0.382 0.382 0.418
O 0.618 0.618 0.582
O 0.665 0.665 0.341
O 0.693 0.693 0.064
O 0.958 0.958 0.241

---

2.
Here is a relaxed Ca2Ni9O13 crystal from Alexandria. Energies are from GGA+U.

Summary:
Total energy ... -5.04 eV per atom
N(E_F) ... 0.48 states/eV/atom

Cell lengths 5.163, 5.163, 16.573 Å; angles 98.27, 98.27, 33.88 degrees
Fractional coordinates of all 24 atoms:
Ca 0.216 0.216 0.230
Ca 0.784 0.784 0.770
Ni 0.003 0.003 0.340
Ni 0.059 0.059 0.880
Ni 0.246 0.246 0.578
Ni 0.353 0.353 0.962
Ni 0.500 0.500 0.500
Ni 0.647 0.647 0.038
Ni 0.754 0.754 0.422
Ni 0.941 0.941 0.120
Ni 0.997 0.997 0.660
O 0.000 0.000 0.000
O 0.108 0.108 0.771
O 0.124 0.124 0.465
O 0.294 0.294 0.071
O 0.370 0.370 0.681
O 0.389 0.389 0.392
O 0.421 0.421 0.860
O 0.579 0.579 0.140
O 0.611 0.611 0.608
O 0.630 0.630 0.319
O 0.706 0.706 0.929
O 0.876 0.876 0.535
O 0.892 0.892 0.229

---

3.
Here is a relaxed Ca3Ni2O7 crystal from Alexandria. Energies are from GGA+U.

Summary:
Total energy ... -5.54 eV per atom
N(E_F) ... 0.44 states/eV/atom

Cell lengths 9.952, 9.952, 5.378 Å; angles 90.00, 90.00, 31.39 degrees
Fractional coordinates of all 24 atoms:
Ca 0.053 0.579 0.417
Ca 0.236 0.764 0.500
Ca 0.421 0.947 0.417
Ca 0.579 0.053 0.917
Ca 0.764 0.236 0.000
Ca 0.947 0.421 0.917
Ni 0.153 0.652 0.955
Ni 0.348 0.847 0.955
Ni 0.652 0.153 0.455
Ni 0.847 0.348 0.455
O 0.002 0.603 0.960
O 0.047 0.118 0.739
O 0.118 0.047 0.239
O 0.334 0.666 0.940
O 0.354 0.418 0.676
O 0.397 0.998 0.960
O 0.418 0.354 0.176
O 0.582 0.646 0.676
O 0.603 0.002 0.460
O 0.646 0.582 0.176
O 0.666 0.334 0.440
O 0.882 0.953 0.739
O 0.953 0.882 0.239
O 0.998 0.397 0.460

---

4.
Here is a relaxed CaNi2O crystal from Alexandria. Energies are from GGA+U.

Summary:
Total energy ... -3.19 eV per atom
N(E_F) ... 0.00 states/eV/atom

Cell lengths 5.819, 5.819, 5.819 Å; angles 60.00, 60.00, 60.00 degrees
Fractional coordinates of all 8 atoms:
Ca 0.125 0.125 0.125
Ca 0.875 0.875 0.875
Ni 0.000 0.500 0.500
Ni 0.500 0.000 0.500
Ni 0.500 0.500 0.000
Ni 0.500 0.500 0.500
O 0.375 0.375 0.375
O 0.625 0.625 0.625

---

5.
Here is a relaxed Ca3Ni5O12 crystal from Alexandria. Energies are from GGA+U.

Summary:
Total energy ... -5.13 eV per atom
N(E_F) ... 0.56 states/eV/atom

Cell lengths 10.605, 10.605, 10.605 Å; angles 109.47, 109.47, 109.47 degrees
Fractional coordinates of all 80 atoms:
Ca 0.125 0.250 0.375
Ca 0.125 0.375 0.750
Ca 0.250 0.375 0.125
Ca 0.250 0.875 0.625
Ca 0.375 0.125 0.250
Ca 0.375 0.750 0.125
Ca 0.625 0.250 0.875
Ca 0.625 0.875 0.750
Ca 0.750 0.125 0.375
Ca 0.750 0.625 0.875
Ca 0.875 0.625 0.250
Ca 0.875 0.750 0.625
Ni 0.000 0.000 0.000
Ni 0.000 0.000 0.500
Ni 0.000 0.500 0.000
Ni 0.000 0.500 0.500
Ni 0.125 0.750 0.875
Ni 0.125 0.875 0.250
Ni 0.250 0.125 0.875
Ni 0.250 0.625 0.375
Ni 0.375 0.250 0.625
Ni 0.375 0.625 0.750
Ni 0.500 0.000 0.000
Ni 0.500 0.000 0.500
Ni 0.500 0.500 0.000
Ni 0.500 0.500 0.500
Ni 0.625 0.375 0.250
Ni 0.625 0.750 0.375
Ni 0.750 0.375 0.625
Ni 0.750 0.875 0.125
Ni 0.875 0.125 0.750
Ni 0.875 0.250 0.125
O 0.020 0.194 0.116
O 0.020 0.326 0.904
O 0.078 0.694 0.674
O 0.078 0.884 0.404
O 0.096 0.616 0.422
O 0.096 0.980 0.674
O 0.116 0.020 0.194
O 0.116 0.596 0.922
O 0.174 0.194 0.578
O 0.174 0.480 0.596
O 0.194 0.116 0.020
O 0.194 0.578 0.174
O 0.306 0.326 0.922
O 0.306 0.480 0.384
O 0.326 0.904 0.020
O 0.326 0.922 0.306
O 0.384 0.306 0.480
O 0.384 0.578 0.904
O 0.404 0.078 0.884
O 0.404 0.826 0.520
O 0.422 0.096 0.616
O 0.422 0.826 0.806
O 0.480 0.384 0.306
O 0.480 0.596 0.174
O 0.520 0.404 0.826
O 0.520 0.616 0.694
O 0.578 0.174 0.194
O 0.578 0.904 0.384
O 0.596 0.174 0.480
O 0.596 0.922 0.116
O 0.616 0.422 0.096
O 0.616 0.694 0.520
O 0.674 0.078 0.694
O 0.674 0.096 0.980
O 0.694 0.520 0.616
O 0.694 0.674 0.078
O 0.806 0.422 0.826
O 0.806 0.884 0.980
O 0.826 0.520 0.404
O 0.826 0.806 0.422
O 0.884 0.404 0.078
O 0.884 0.980 0.806
O 0.904 0.020 0.326
O 0.904 0.384 0.578
O 0.922 0.116 0.596
O 0.922 0.306 0.326
O 0.980 0.674 0.096
O 0.980 0.806 0.884

---

6.
Here is a relaxed CaNi4O8 crystal from Alexandria. Energies are from GGA+U.

Summary:
Energy above the most stable polymorph in this dataset ... 0 meV/atom

Cell lengths 6.494, 6.494, 6.494 Å; angles 52.20, 52.20, 52.20 degrees
Fractional coordinates of all 13 atoms:
Ca 0.000 0.000 0.000
Ni 0.000 0.000 0.500
Ni 0.000 0.500 0.000
Ni 0.500 0.000 0.000
Ni 0.500 0.500 0.500
O 0.204 0.738 0.738
O 0.224 0.224 0.224
O 0.262 0.262 0.796
O 0.262 0.796 0.262
O 0.738 0.204 0.738
O 0.738 0.738 0.204
O 0.776 0.776 0.776
O 0.796 0.262 0.262

---

7.
Here is a relaxed Ca2NiO crystal from Alexandria. Energies are from GGA+U.

Summary:
Total energy ... -3.75 eV per atom
N(E_F) ... 0.00 states/eV/atom

Cell lengths 6.052, 6.052, 6.052 Å; angles 115.54, 115.54, 97.92 degrees
Fractional coordinates of all 8 atoms:
Ca 0.058 0.625 0.933
Ca 0.375 0.308 0.433
Ca 0.692 0.125 0.067
Ca 0.875 0.942 0.567
Ni 0.250 0.750 0.500
Ni 0.500 0.500 0.000
O 0.000 0.000 0.000
O 0.750 0.250 0.500

---

8.
Here is a relaxed Ca2Ni2O5 crystal from Alexandria. Energies are from GGA+U.

Summary:
Total energy ... -5.45 eV per atom
N(E_F) ... 0.27 states/eV/atom

Cell lengths 5.399, 10.190, 3.800 Å; angles 90.00, 90.00, 90.00 degrees
Fractional coordinates of all 18 atoms:
Ca 0.194 0.131 0.000
Ca 0.306 0.631 0.000
Ca 0.694 0.369 0.000
Ca 0.806 0.869 0.000
Ni 0.232 0.373 0.500
Ni 0.268 0.873 0.500
Ni 0.732 0.127 0.500
Ni 0.768 0.627 0.500
O 0.000 0.000 0.500
O 0.080 0.708 0.500
O 0.222 0.397 0.000
O 0.278 0.897 0.000
O 0.420 0.208 0.500
O 0.500 0.500 0.500
O 0.580 0.792 0.500
O 0.722 0.103 0.000
O 0.778 0.603 0.000
O 0.920 0.292 0.500

---

9.
Here is a relaxed CaNiO3 crystal from Alexandria. Energies are from GGA+U.

Summary:
Total energy ... -5.34 eV per atom
N(E_F) ... 0.14 states/eV/atom

Cell lengths 5.415, 7.540, 5.327 Å; angles 90.00, 90.00, 90.00 degrees
Fractional coordinates of all 20 atoms:
Ca 0.054 0.250 0.012
Ca 0.446 0.750 0.512
Ca 0.554 0.250 0.488
Ca 0.946 0.750 0.988
Ni 0.000 0.000 0.500
Ni 0.000 0.500 0.500
Ni 0.500 0.000 0.000
Ni 0.500 0.500 0.000
O 0.013 0.750 0.421
O 0.208 0.540 0.797
O 0.208 0.960 0.797
O 0.292 0.040 0.297
O 0.292 0.460 0.297
O 0.487 0.250 0.921
O 0.513 0.750 0.079
O 0.708 0.540 0.703
O 0.708 0.960 0.703
O 0.792 0.040 0.203
O 0.792 0.460 0.203
O 0.987 0.250 0.579

---

10.
Here is a relaxed CaNi4O6 crystal from Alexandria. Energies are from GGA+U.

Summary:
Total energy ... -5.08 eV per atom
N(E_F) ... 0.47 states/eV/atom

Cell lengths 5.149, 5.149, 14.999 Å; angles 90.00, 90.00, 145.78 degrees
Fractional coordinates of all 22 atoms:
Ca 0.158 0.842 0.750
Ca 0.842 0.158 0.250
Ni 0.090 0.910 0.131
Ni 0.090 0.910 0.369
Ni 0.362 0.638 0.042
Ni 0.362 0.638 0.458
Ni 0.638 0.362 0.542
Ni 0.638 0.362 0.958
Ni 0.910 0.090 0.631
Ni 0.910 0.090 0.869
O 0.000 0.000 0.000
O 0.000 0.000 0.500
O 0.169 0.831 0.250
O 0.275 0.725 0.578
O 0.275 0.725 0.922
O 0.457 0.543 0.154
O 0.457 0.543 0.346
O 0.543 0.457 0.654
O 0.543 0.457 0.846
O 0.725 0.275 0.078
O 0.725 0.275 0.422
O 0.831 0.169 0.750

---

11.
Here is a relaxed CaNi2OsO6 crystal from Alexandria. Energies are from GGA+U.

Summary:
Total energy ... -6.19 eV per atom
N(E_F) ... 0.46 states/eV/atom

Cell lengths 5.689, 5.689, 5.689 Å; angles 55.48, 55.48, 55.48 degrees
Fractional coordinates of all 10 atoms:
Ca 0.000 0.000 0.000
Ni 0.207 0.207 0.207
Ni 0.714 0.714 0.714
Os 0.516 0.516 0.516
O 0.135 0.441 0.773
O 0.343 0.903 0.568
O 0.441 0.773 0.135
O 0.568 0.343 0.903
O 0.773 0.135 0.441
O 0.903 0.568 0.343

---

12.
Here is a relaxed CaNiOs2O8 crystal from Alexandria. Energies are from GGA+U.

Summary:
Total energy ... -6.88 eV per atom
N(E_F) ... 0.35 states/eV/atom

Cell lengths 4.780, 4.780, 6.331 Å; angles 90.00, 90.00, 92.16 degrees
Fractional coordinates of all 12 atoms:
Ca 0.000 0.000 0.000
Ni 0.000 0.000 0.500
Os 0.500 0.500 0.257
Os 0.500 0.500 0.743
O 0.225 0.225 0.272
O 0.225 0.225 0.728
O 0.310 0.690 0.500
O 0.330 0.670 0.000
O 0.670 0.330 0.000
O 0.690 0.310 0.500
O 0.775 0.775 0.272
O 0.775 0.775 0.728

---

no.,total magnetic moment (μB per cell)
1,4.0
2,7.3
3,0.0
4,0.0
5,31.5
6,2.0
7,0.0
8,4.0
9,0.0
10,12.0
11,6.0
12,1.4